Record 1
First-principles (PBE) data for crystalline RbTbSnBr6 at its relaxed geometry, as listed in the Alexandria database.

Results
DOS(E_F), states/eV/cell: 0.0
DFT total energy, eV/cell: -33.3

```
RbTbSnBr6
1.0
7.616 0.000 0.000
-3.808 6.595 0.000
0.000 0.000 7.520
Rb Tb Sn Br
1 1 1 6
Direct
0.000 0.000 0.000
0.667 0.333 0.500
0.333 0.667 0.500
0.380 0.017 0.719
0.380 0.362 0.281
0.638 0.017 0.281
0.638 0.620 0.719
0.983 0.362 0.719
0.983 0.620 0.281
```



Record 2
First-principles (PBE) data for crystalline La8Ge3AsI4 at its relaxed geometry, as listed in the Alexandria database.

Results
DOS(E_F), states/eV/cell: 8.7
DFT total energy, eV/cell: -83.0

```
La8Ge3AsI4
1.0
4.445 2.567 7.798
-4.445 2.567 7.798
0.000 -5.133 7.798
La Ge As I
8 3 1 4
Direct
0.233 0.734 0.734
0.234 0.234 0.234
0.266 0.266 0.767
0.266 0.767 0.266
0.734 0.233 0.734
0.734 0.734 0.233
0.766 0.766 0.766
0.767 0.266 0.266
0.000 0.000 0.500
0.000 0.500 0.000
0.500 0.000 0.000
0.500 0.500 0.500
0.000 0.000 0.000
0.000 0.500 0.500
0.500 0.000 0.500
0.500 0.500 0.000
```



Record 3
First-principles (PBE) data for crystalline Y2Al at its relaxed geometry, as listed in the Alexandria database.

Results
ΔE_f, eV/atom: -0.16
DOS(E_F), states/eV/cell: 13.8
DFT total energy, eV/cell: -68.6

```
Y2Al
1.0
3.385 0.000 0.000
0.000 3.385 0.000
0.000 0.000 28.876
Y Al
8 4
Direct
0.000 0.250 0.306
0.000 0.250 0.444
0.000 0.750 0.556
0.000 0.750 0.694
0.500 0.250 0.056
0.500 0.250 0.194
0.500 0.750 0.806
0.500 0.750 0.944
0.000 0.250 0.875
0.000 0.750 0.125
0.500 0.250 0.625
0.500 0.750 0.375
```



Record 4
First-principles (PBE) data for crystalline Si2RuAu at its relaxed geometry, as listed in the Alexandria database.

Results
DOS(E_F), states/eV/cell: 2.3
DFT total energy, eV/cell: -23.5
Energy relative to the lowest polymorph listed for this composition, kJ/mol of atoms: 18.1

```
Si2RuAu
1.0
3.019 0.000 0.000
0.000 3.019 0.000
0.000 0.000 6.457
Si Ru Au
2 1 1
Direct
0.000 0.000 0.220
0.000 0.000 0.780
0.500 0.500 0.000
0.500 0.500 0.500
```



Record 5
First-principles (PBE) data for crystalline V2CuAu2 at its relaxed geometry, as listed in the Alexandria database.

Results
ΔE_f, eV/atom: 0.36
DOS(E_F), states/eV/cell: 9.6
DFT total energy, eV/cell: -54.2
Energy relative to the lowest polymorph listed for this composition, kJ/mol of atoms: 7.5

```
V2CuAu2
1.0
7.539 0.000 0.000
0.000 7.539 0.000
0.000 0.000 2.868
V Cu Au
4 2 4
Direct
0.168 0.332 0.000
0.332 0.832 0.000
0.668 0.168 0.000
0.832 0.668 0.000
0.000 0.000 0.500
0.500 0.500 0.500
0.131 0.631 0.500
0.369 0.131 0.500
0.631 0.869 0.500
0.869 0.369 0.500
```



Record 6
First-principles (PBE) data for crystalline Zr4TeAu at its relaxed geometry, as listed in the Alexandria database.

Results
DOS(E_F), states/eV/cell: 5.3
DFT total energy, eV/cell: -39.8

```
Zr4TeAu
1.0
0.000 4.074 4.074
4.074 0.000 4.074
4.074 4.074 0.000
Zr Te Au
4 1 1
Direct
0.125 0.125 0.125
0.125 0.125 0.626
0.125 0.626 0.125
0.626 0.125 0.125
0.500 0.500 0.500
0.750 0.750 0.750
```



Record 7
First-principles (PBE) data for crystalline Dy2InPb3 at its relaxed geometry, as listed in the Alexandria database.

Results
ΔE_f, eV/atom: -0.39
DOS(E_F), states/eV/cell: 5.0
DFT total energy, eV/cell: -50.8
Energy relative to the lowest polymorph listed for this composition, kJ/mol of atoms: 0.0

```
Dy2InPb3
1.0
4.573 0.000 0.000
0.000 15.556 0.000
0.000 0.000 4.686
Dy In Pb
4 2 6
Direct
0.000 0.149 0.000
0.000 0.851 0.000
0.500 0.351 0.000
0.500 0.649 0.000
0.000 0.000 0.500
0.500 0.500 0.500
0.000 0.326 0.500
0.000 0.500 0.000
0.000 0.674 0.500
0.500 0.000 0.000
0.500 0.174 0.500
0.500 0.826 0.500
```



Record 8
First-principles (PBE) data for crystalline MgPt2WAu at its relaxed geometry, as listed in the Alexandria database.

Results
ΔE_f, eV/atom: 1.54
DOS(E_F), states/eV/cell: 4.2
DFT total energy, eV/cell: -22.2

```
MgPt2WAu
1.0
4.533 0.000 0.000
0.000 4.533 0.000
0.000 0.000 4.870
Mg Pt W Au
1 2 1 1
Direct
0.000 0.000 0.000
0.000 0.500 0.000
0.500 0.000 0.000
0.000 0.000 0.500
0.500 0.500 0.500
```



Record 9
First-principles (PBE) data for crystalline Ba2NiAgI at its relaxed geometry, as listed in the Alexandria database.

Results
DOS(E_F), states/eV/cell: 2.5
DFT total energy, eV/cell: -16.3

```
Ba2NiAgI
1.0
5.969 0.000 0.000
0.000 5.969 0.000
0.000 0.000 4.942
Ba Ni Ag I
2 1 1 1
Direct
0.000 0.500 0.000
0.500 0.000 0.000
0.000 0.000 0.000
0.000 0.000 0.500
0.500 0.500 0.500
```



Record 10
First-principles (PBE) data for crystalline VFe2Mo at its relaxed geometry, as listed in the Alexandria database.

Results
ΔE_f, eV/atom: 0.05
DOS(E_F), states/eV/cell: 19.8
DFT total energy, eV/cell: -146.7
Energy relative to the lowest polymorph listed for this composition, kJ/mol of atoms: 7.6

```
VFe2Mo
1.0
5.903 0.000 0.000
0.000 5.903 0.000
0.000 0.000 5.903
V Fe Mo
4 8 4
Direct
0.000 0.000 0.000
0.000 0.500 0.500
0.500 0.000 0.500
0.500 0.500 0.000
0.250 0.250 0.250
0.250 0.250 0.750
0.250 0.750 0.250
0.250 0.750 0.750
0.750 0.250 0.250
0.750 0.250 0.750
0.750 0.750 0.250
0.750 0.750 0.750
0.000 0.000 0.500
0.000 0.500 0.000
0.500 0.000 0.000
0.500 0.500 0.500
```



Record 11
First-principles (PBE) data for crystalline CuNi7Pd12 at its relaxed geometry, as listed in the Alexandria database.

Results
ΔE_f, eV/atom: 0.09
DOS(E_F), states/eV/cell: 31.4
DFT total energy, eV/cell: -105.1

```
CuNi7Pd12
1.0
5.565 3.213 2.629
-5.565 3.213 2.629
0.000 -6.426 2.629
Cu Ni Pd
1 7 12
Direct
0.000 0.000 0.000
0.002 0.676 0.105
0.105 0.002 0.676
0.324 0.895 0.998
0.500 0.500 0.500
0.676 0.105 0.002
0.895 0.998 0.324
0.998 0.324 0.895
0.059 0.380 0.284
0.220 0.387 0.683
0.284 0.059 0.380
0.317 0.780 0.613
0.380 0.284 0.059
0.387 0.683 0.220
0.613 0.317 0.780
0.620 0.716 0.941
0.683 0.220 0.387
0.716 0.941 0.620
0.780 0.613 0.317
0.941 0.620 0.716
```



Record 12
First-principles (PBE) data for crystalline Al2IrSe at its relaxed geometry, as listed in the Alexandria database.

Results
DOS(E_F), states/eV/cell: 1.0
DFT total energy, eV/cell: -21.3

```
Al2IrSe
1.0
3.451 0.000 0.000
0.000 3.451 0.000
0.000 0.000 6.304
Al Ir Se
2 1 1
Direct
0.000 0.000 0.000
0.500 0.500 0.296
0.000 0.000 0.378
0.500 0.500 0.847
```



Record 13
First-principles (PBE) data for crystalline NdYZnFe at its relaxed geometry, as listed in the Alexandria database.

Results
ΔE_f, eV/atom: -0.02
DOS(E_F), states/eV/cell: 18.2
DFT total energy, eV/cell: -84.2

```
NdYZnFe
1.0
7.088 0.000 0.000
0.000 7.088 0.000
0.000 0.000 7.088
Nd Y Zn Fe
4 4 4 4
Direct
0.000 0.000 0.000
0.000 0.500 0.500
0.500 0.000 0.500
0.500 0.500 0.000
0.000 0.000 0.500
0.000 0.500 0.000
0.500 0.000 0.000
0.500 0.500 0.500
0.250 0.250 0.250
0.250 0.750 0.750
0.750 0.250 0.750
0.750 0.750 0.250
0.250 0.250 0.750
0.250 0.750 0.250
0.750 0.250 0.250
0.750 0.750 0.750
```



Record 14
First-principles (PBE) data for crystalline La3PmYHo at its relaxed geometry, as listed in the Alexandria database.

Results
ΔE_f, eV/atom: 0.03
DOS(E_F), states/eV/cell: 22.2
DFT total energy, eV/cell: -60.8

```
La3PmYHo
1.0
8.129 0.000 0.000
0.000 5.221 0.000
-3.344 0.000 9.860
La Pm Y Ho
6 2 2 2
Direct
0.167 0.250 0.044
0.170 0.250 0.540
0.170 0.750 0.791
0.830 0.250 0.209
0.830 0.750 0.460
0.833 0.750 0.956
0.171 0.750 0.294
0.829 0.250 0.706
0.497 0.750 0.127
0.503 0.250 0.873
0.500 0.250 0.377
0.500 0.750 0.623
```



Record 15
First-principles (PBE) data for crystalline SrInMo2 at its relaxed geometry, as listed in the Alexandria database.

Results
ΔE_f, eV/atom: 0.85
DOS(E_F), states/eV/cell: 3.4
DFT total energy, eV/cell: -22.7

```
SrInMo2
1.0
2.894 0.000 0.000
0.000 2.894 0.000
0.000 0.000 9.922
Sr In Mo
1 1 2
Direct
0.000 0.000 0.000
0.000 0.000 0.500
0.500 0.500 0.279
0.500 0.500 0.721
```



Record 16
First-principles (PBE) data for crystalline ReAg8 at its relaxed geometry, as listed in the Alexandria database.

Results
ΔE_f, eV/atom: 0.41
DOS(E_F), states/eV/cell: 4.9
DFT total energy, eV/cell: -31.5

```
ReAg8
1.0
-4.403 4.403 2.050
4.403 -4.403 2.050
4.403 4.403 -2.050
Re Ag
1 8
Direct
0.000 0.000 0.000
0.000 0.331 0.331
0.000 0.669 0.669
0.331 0.000 0.331
0.336 0.336 0.672
0.336 0.664 0.000
0.664 0.336 0.000
0.664 0.664 0.328
0.669 0.000 0.669
```



Record 17
First-principles (PBE) data for crystalline CaSn2S3 at its relaxed geometry, as listed in the Alexandria database.

Results
DFT total energy, eV/cell: -56.5

```
CaSn2S3
1.0
4.104 0.000 0.000
0.000 4.104 0.000
0.000 0.000 17.494
Ca Sn S
2 4 6
Direct
0.000 0.000 0.000
0.500 0.500 0.500
0.000 0.000 0.336
0.000 0.000 0.664
0.500 0.500 0.164
0.500 0.500 0.836
0.000 0.000 0.163
0.000 0.000 0.500
0.000 0.000 0.837
0.500 0.500 0.000
0.500 0.500 0.337
0.500 0.500 0.663
```



Record 18
First-principles (PBE) data for crystalline ZnCdIn4 at its relaxed geometry, as listed in the Alexandria database.

Results
ΔE_f, eV/atom: 0.25
DOS(E_F), states/eV/cell: 3.4
DFT total energy, eV/cell: -11.7

```
ZnCdIn4
1.0
0.000 4.367 4.367
4.367 0.000 4.367
4.367 4.367 0.000
Zn Cd In
1 1 4
Direct
0.000 0.000 0.000
0.750 0.750 0.750
0.375 0.375 0.375
0.375 0.375 0.875
0.375 0.875 0.375
0.875 0.375 0.375
```



Record 19
First-principles (PBE) data for crystalline BaSrAg2 at its relaxed geometry, as listed in the Alexandria database.

Results
ΔE_f, eV/atom: -0.11
DOS(E_F), states/eV/cell: 3.3
DFT total energy, eV/cell: -9.7
Energy relative to the lowest polymorph listed for this composition, kJ/mol of atoms: 16.7

```
BaSrAg2
1.0
3.951 0.000 0.000
0.000 3.951 0.000
0.000 0.000 8.876
Ba Sr Ag
1 1 2
Direct
0.000 0.000 0.000
0.500 0.500 0.407
0.000 0.000 0.621
0.500 0.500 0.764
```



Record 20
First-principles (PBE) data for crystalline Rb2CdOsCl6 at its relaxed geometry, as listed in the Alexandria database.

Results
DOS(E_F), states/eV/cell: 9.7
DFT total energy, eV/cell: -35.0

```
Rb2CdOsCl6
1.0
-3.642 3.642 5.126
3.642 -3.642 5.126
3.642 3.642 -5.126
Rb Cd Os Cl
2 1 1 6
Direct
0.250 0.750 0.500
0.750 0.250 0.500
0.000 0.000 0.000
0.500 0.500 0.000
0.264 0.264 0.000
0.266 0.266 0.531
0.266 0.734 0.000
0.734 0.266 0.000
0.734 0.734 0.469
0.736 0.736 0.000
```